(1)
VASP calculation (PBE) on a relaxed Al3As2 crystal.

Properties
SG: Fdd2, No. 43
Formation energy: -0.0135 eV/atom
Offset from the most stable computed form: 105.7 meV/atom

abc: 8.350 6.772 6.185
angles: 80.10 53.04 46.87
Fractional coordinates of all 10 atoms:
Al1 0.474 0.753 0.465
Al2 0.307 0.465 0.753
Al3 0.497 0.776 0.943
Al4 0.785 0.943 0.776
Al5 0.947 0.053 0.053
Al6 0.197 0.303 0.303
As1 0.846 0.241 0.487
As2 0.426 0.487 0.241
As3 0.009 0.404 0.824
As4 0.763 0.824 0.404


(2)
VASP calculation (PBE) on a relaxed HfHRh3 crystal.

Properties
SG: Imm2, No. 44
Offset from the most stable computed form: 27.6 meV/atom

abc: 5.593 5.667 5.667
angles: 120.88 119.57 60.43
Fractional coordinates of all 10 atoms:
H1 0.498 0.295 0.805
H2 0.497 0.796 0.305
Hf1 0.761 0.532 0.569
Hf2 0.233 0.060 0.041
Rh1 0.246 0.549 0.058
Rh2 0.245 0.548 0.553
Rh3 0.748 0.043 0.552
Rh4 0.246 0.043 0.552
Rh5 0.748 0.549 0.058
Rh6 0.749 0.044 0.057